1.
DFT (PBE) results for B6N after structural relaxation.

Calculated values
As for the total magnetic moment: 0.000 μB/f.u. The value obtained for the total DFT energy (no corrections) is -6.59 eV/atom. As for the space-group type: P2_1/c, No. 14.

a = 4.3743 Å, b = 19.4311 Å, c = 3.1923 Å
α = 90.00°, β = 90.00°, γ = 95.97°
With the nearest neighbours (Å) after each atom.
Fractional positions:
B  0.6749  0.9785  0.9554  6 B 1.69-1.84
B  0.4243  0.2642  0.7011  2 N 1.46-1.49
B  0.8053  0.9787  0.4553  6 B 1.69-1.84
B  0.6403  0.4434  0.2069  5 B 1.71-1.83
B  0.0757  0.2358  0.2011  2 N 1.46-1.49
B  0.9243  0.7642  0.7989  2 N 1.46-1.49
B  0.8308  0.2662  0.6573  1 N 1.50
B  0.8597  0.0566  0.7069  5 B 1.71-1.83
B  0.8070  0.4434  0.7064  5 B 1.71-1.82
B  0.3070  0.9434  0.7936  5 B 1.71-1.82
B  0.3308  0.7662  0.8427  1 N 1.50
B  0.6930  0.0566  0.2064  5 B 1.71-1.82
B  0.5757  0.7358  0.2989  2 N 1.46-1.49
B  0.1947  0.0213  0.5447  6 B 1.69-1.84
B  0.1692  0.7338  0.3427  1 N 1.50
B  0.3251  0.0215  0.0446  6 B 1.69-1.84
B  0.8251  0.5215  0.4554  6 B 1.69-1.84
B  0.3053  0.4787  0.0447  6 B 1.69-1.84
B  0.1749  0.4785  0.5446  6 B 1.69-1.84
B  0.6947  0.5213  0.9553  6 B 1.69-1.84
B  0.1403  0.9434  0.2931  5 B 1.71-1.83
B  0.3597  0.5566  0.7931  5 B 1.71-1.83
B  0.1930  0.5566  0.2936  5 B 1.71-1.82
B  0.6692  0.2338  0.1573  1 N 1.50
N  0.6478  0.7906  0.9912  3 B 1.46-1.50
N  0.8522  0.7094  0.4912  3 B 1.46-1.50
N  0.3522  0.2094  0.0088  3 B 1.46-1.50
N  0.1478  0.2906  0.5088  3 B 1.46-1.50

***

2.
DFT (PBE) results for PaGaSe4 after structural relaxation.

Calculated values
As for the total magnetic moment: 0.000 μB/f.u. The value obtained for the total DFT energy (no corrections) is -5.23 eV/atom. As for the space-group type: P2_1/c, No. 14.

a = 6.7994 Å, b = 6.6299 Å, c = 6.6906 Å
α = 90.00°, β = 97.07°, γ = 90.00°
With the nearest neighbours (Å) after each atom.
Fractional positions:
Ga  0.0000  0.5000  0.5000  6 Se 2.49-2.76
Ga  0.5000  0.0000  0.5000  6 Se 2.49-2.76
Se  0.2419  0.7873  0.7039  2 Ga 2.74-2.76, 1 Pa 3.07
Se  0.3446  0.8118  0.1994  1 Ga 2.49, 1 Pa 2.74
Se  0.2581  0.2873  0.2961  2 Ga 2.74-2.76, 1 Pa 3.07
Se  0.7581  0.2127  0.2961  2 Ga 2.74-2.76, 1 Pa 3.07
Se  0.8446  0.6882  0.1994  1 Ga 2.49, 1 Pa 2.74
Se  0.7419  0.7127  0.7039  2 Ga 2.74-2.76, 1 Pa 3.07
Se  0.1554  0.3118  0.8006  1 Ga 2.49, 1 Pa 2.74
Se  0.6554  0.1882  0.8006  1 Ga 2.49, 1 Pa 2.74
Pa  0.5000  0.5000  0.0000  6 Se 2.74-3.07
Pa  0.0000  0.0000  0.0000  6 Se 2.74-3.07

***

3.
DFT (PBE) results for CuNi3Pd2 after structural relaxation.

Calculated values
As for the total magnetic moment: 2.420 μB/f.u. Its energy of formation is 0.012 eV/atom. The value obtained for the total DFT energy (no corrections) is -5.29 eV/atom. As for the space-group type: C2/m, No. 12.

a = 3.7077 Å, b = 5.8912 Å, c = 8.2464 Å
α = 115.45°, β = 90.00°, γ = 108.34°
With the nearest neighbours (Å) after each atom.
Fractional positions:
Pd  0.4680  0.9361  0.1404  4 Ni 2.59-2.67, 4 Cu 2.59-2.76, 4 Pd 2.70-2.78
Pd  0.5320  0.0639  0.8596  4 Ni 2.59-2.67, 4 Cu 2.59-2.76, 4 Pd 2.70-2.78
Pd  0.2077  0.4153  0.8589  4 Ni 2.58-2.66, 3 Cu 2.59-2.81, 5 Pd 2.70-2.78
Pd  0.7923  0.5847  0.1411  4 Ni 2.58-2.66, 3 Cu 2.59-2.81, 5 Pd 2.70-2.78
Ni  0.7139  0.4278  0.3915  8 Ni 2.45-2.62, 2 Pd 2.58-2.59, 2 Cu 2.63
Ni  0.0477  0.0954  0.3906  8 Ni 2.45-2.64, 3 Pd 2.61-2.66, 1 Cu 2.62
Ni  0.9523  0.9046  0.6094  8 Ni 2.45-2.64, 3 Pd 2.61-2.66, 1 Cu 2.62
Ni  0.6204  0.2407  0.6086  8 Ni 2.45-2.64, 3 Pd 2.61-2.67, 1 Cu 2.63
Ni  0.3796  0.7593  0.3914  8 Ni 2.45-2.64, 3 Pd 2.61-2.67, 1 Cu 2.63
Ni  0.2861  0.5722  0.6085  8 Ni 2.45-2.62, 2 Pd 2.58-2.59, 2 Cu 2.63
Cu  0.8710  0.7420  0.8619  7 Pd 2.59-2.81, 4 Ni 2.62-2.63, 1 Cu 2.75
Cu  0.1290  0.2580  0.1381  7 Pd 2.59-2.81, 4 Ni 2.62-2.63, 1 Cu 2.75

***

4.
DFT (PBE) results for Pr2AgGe4Pt3 after structural relaxation.

Calculated values
As for the total magnetic moment: 0.000 μB/f.u. Its energy of formation is -0.820 eV/atom. The value obtained for the total DFT energy (no corrections) is -5.72 eV/atom. As for the space-group type: P-4m2, No. 115.

a = 4.4053 Å, b = 4.4053 Å, c = 10.2313 Å
α = 90.00°, β = 90.00°, γ = 90.00°
With the nearest neighbours (Å) after each atom.
Fractional positions:
Ge  0.0000  0.0000  0.0000  4 Pt 2.52
Ge  0.5000  0.5000  0.0000  4 Pt 2.52
Ge  0.5000  0.0000  0.6381  3 Pt 2.47-2.62, 2 Ag 2.62
Ge  0.0000  0.5000  0.3619  3 Pt 2.47-2.62, 2 Ag 2.62
Pt  0.0000  0.5000  0.1202  5 Ge 2.47-2.52
Pt  0.0000  0.0000  0.5000  4 Ge 2.62
Pt  0.5000  0.0000  0.8798  5 Ge 2.47-2.52
Pr  0.5000  0.0000  0.2479  8 Ge 3.33-3.36, 6 Pt 3.38-3.39, 2 Ag 3.39
Pr  0.0000  0.5000  0.7521  8 Ge 3.33-3.36, 6 Pt 3.38-3.39, 2 Ag 3.39
Ag  0.5000  0.5000  0.5000  4 Ge 2.62

***

5.
DFT (PBE) results for Li2CoIr after structural relaxation.

Calculated values
As for the total magnetic moment: 2.366 μB/f.u. Its energy of formation is -0.008 eV/atom. The value obtained for the total DFT energy (no corrections) is -4.96 eV/atom. Its offset from the most stable computed form is 0.057 eV/atom. As for the space-group type: F-43m, No. 216.

a = 4.1215 Å, b = 4.1215 Å, c = 4.1215 Å
α = 120.06°, β = 120.06°, γ = 89.89°
With the nearest neighbours (Å) after each atom.
Fractional positions:
Li  0.2500  0.7500  0.5000  4 Li 2.52, 4 Co 2.52
Li  0.0000  0.0000  0.0000  4 Ir 2.52, 4 Li 2.52
Co  0.5000  0.5000  0.0000  4 Li 2.52, 4 Ir 2.52
Ir  0.7500  0.2500  0.5000  4 Co 2.52, 4 Li 2.52

***

6.
DFT (PBE) results for PrSm3Th2 after structural relaxation.

Calculated values
As for the total magnetic moment: 0.000 μB/f.u. Its energy of formation is 0.179 eV/atom. The value obtained for the total DFT energy (no corrections) is -5.45 eV/atom. As for the space-group type: Cmcm, No. 63.

a = 6.7000 Å, b = 6.9239 Å, c = 9.4800 Å
α = 111.42°, β = 90.00°, γ = 90.00°
With the nearest neighbours (Å) after each atom.
Fractional positions:
Sm  0.2500  0.0764  0.6546  5 Sm 3.45-3.79, 2 Th 3.48, 3 Pr 3.60-3.80
Sm  0.7500  0.4218  0.3454  5 Sm 3.45-3.79, 2 Th 3.48, 3 Pr 3.60-3.80
Sm  0.2500  0.5782  0.6546  5 Sm 3.45-3.79, 2 Th 3.48, 3 Pr 3.60-3.80
Sm  0.7500  0.9236  0.3454  5 Sm 3.45-3.79, 2 Th 3.48, 3 Pr 3.60-3.80
Sm  0.2500  0.1475  0.2951  2 Pr 3.46, 4 Th 3.54, 6 Sm 3.62-3.79
Sm  0.7500  0.8525  0.7049  2 Pr 3.46, 4 Th 3.54, 6 Sm 3.62-3.79
Pr  0.7500  0.3515  0.7030  8 Sm 3.46-3.80, 4 Th 3.57
Pr  0.2500  0.6485  0.2970  8 Sm 3.46-3.80, 4 Th 3.57
Th  0.0000  0.7518  0.0000  4 Th 3.35-3.49, 4 Sm 3.48-3.54, 2 Pr 3.57
Th  0.5000  0.2482  0.0000  4 Th 3.35-3.49, 4 Sm 3.48-3.54, 2 Pr 3.57
Th  0.5000  0.7518  0.0000  4 Th 3.35-3.49, 4 Sm 3.48-3.54, 2 Pr 3.57
Th  0.0000  0.2482  0.0000  4 Th 3.35-3.49, 4 Sm 3.48-3.54, 2 Pr 3.57